(1)
{"formula": "SrScAs2Br", "functional": "PBE", "state": "relaxed", "e_form_raw_ev_per_atom": 0.243, "relative_energy_ev_per_atom": 1.174, "lattice_angstrom": [[-4.888, 0.444, 2.649], [-2.332, -3.432, -3.728], [1.317, -4.321, 3.154]], "species": ["As", "Sr", "Sc", "Br", "As"], "frac_coords": [[0.500, 0.000, 0.000], [0.000, 0.000, 0.000], [0.500, 0.500, 0.500], [0.000, 0.000, 0.500], [0.000, 0.500, 0.000]]}

---

(2)
{"formula": "Ni3Se3Cl", "functional": "PBE", "state": "relaxed", "e_form_raw_ev_per_atom": -0.160, "lattice_angstrom": [[4.940, 0.000, 0.000], [0.000, 7.022, -4.054], [0.000, 0.000, 8.109]], "species": ["Ni", "Ni", "Se", "Se", "Se", "Ni", "Se", "Cl", "Ni", "Ni", "Se", "Ni", "Se", "Cl"], "frac_coords": [[0.750, 0.153, 0.816], [0.250, 0.816, 0.663], [0.750, 0.827, 0.678], [0.250, 0.149, 0.827], [0.250, 0.173, 0.322], [0.250, 0.847, 0.184], [0.750, 0.322, 0.149], [0.750, 0.333, 0.667], [0.750, 0.184, 0.337], [0.750, 0.663, 0.847], [0.250, 0.678, 0.851], [0.250, 0.337, 0.153], [0.750, 0.851, 0.173], [0.250, 0.667, 0.333]]}

---

(3)
{"formula": "Li3Pr", "functional": "PBE", "state": "relaxed", "relative_energy_ev_per_atom": 0.100, "lattice_angstrom": [[-2.838, -1.494, -0.541], [-0.794, -0.402, 5.273], [-2.666, 5.069, -0.015]], "species": ["Li", "Pr", "Li", "Li"], "frac_coords": [[0.500, 0.000, 0.539], [0.000, 0.500, 0.328], [0.000, 0.000, 0.975], [0.500, 0.500, 0.825]]}